Crystalline La6Fe13Pb at its relaxed geometry. Source: Alexandria via LeMat-Bulk, functional PBE-GGA.

Geometry as POSCAR:
```
La6Fe13Pb
1.0
-0.342 -12.665 -4.310
4.799 -11.071 5.788
-7.230 11.095 1.930
La Fe Pb
12 26 2
Direct
0.482 0.982 0.826 La
0.396 0.396 0.000 La
0.982 0.156 0.500 La
0.344 0.518 0.500 La
0.896 0.896 0.000 La
0.604 0.604 0.000 La
0.156 0.656 0.174 La
0.018 0.844 0.500 La
0.518 0.018 0.174 La
0.844 0.344 0.826 La
0.104 0.104 0.000 La
0.656 0.482 0.500 La
0.122 0.265 0.500 Fe
0.209 0.067 0.276 Fe
0.500 0.000 0.500 Fe
0.709 0.433 0.143 Fe
0.567 0.709 0.276 Fe
0.878 0.735 0.500 Fe
0.765 0.622 0.500 Fe
0.000 0.500 0.500 Fe
0.524 0.797 0.500 Fe
0.378 0.878 0.143 Fe
0.291 0.567 0.857 Fe
0.797 0.297 0.273 Fe
0.703 0.976 0.500 Fe
0.265 0.765 0.143 Fe
0.235 0.378 0.500 Fe
0.067 0.791 0.857 Fe
0.297 0.024 0.500 Fe
0.976 0.476 0.273 Fe
0.203 0.703 0.727 Fe
0.791 0.933 0.724 Fe
0.476 0.203 0.500 Fe
0.735 0.235 0.857 Fe
0.933 0.209 0.143 Fe
0.622 0.122 0.857 Fe
0.433 0.291 0.724 Fe
0.024 0.524 0.727 Fe
0.250 0.250 0.000 Pb
0.750 0.750 0.000 Pb
```

Output
The crystal system is tetragonal. As for the symmetry: I4/mcm (140). Its calculated formation energy is -67 meV/atom.